No. 1
Compound: Ac3CdRu
Source: the Alexandria database
Functional: PBE
Structure: relaxed

Calculated values
Fermi-level density of states, states/eV/cell: 17.56
Offset from the most stable computed form, eV/atom: 0.000
Magnetization, μB per atom: 0.00

Geometry as POSCAR:
```
Ac3CdRu
1.0
4.269 0.000 0.000
0.000 10.370 0.000
0.000 0.000 16.050
Cd Ac Ru
4 12 4
direct
0.750 0.946 0.827 Cd
0.250 0.054 0.173 Cd
0.750 0.446 0.673 Cd
0.250 0.554 0.327 Cd
0.250 0.982 0.393 Ac
0.750 0.778 0.215 Ac
0.250 0.482 0.107 Ac
0.750 0.518 0.893 Ac
0.750 0.669 0.495 Ac
0.250 0.722 0.715 Ac
0.250 0.831 0.995 Ac
0.750 0.169 0.005 Ac
0.250 0.222 0.785 Ac
0.750 0.278 0.285 Ac
0.250 0.331 0.505 Ac
0.750 0.018 0.607 Ac
0.250 0.332 0.941 Ru
0.750 0.668 0.059 Ru
0.250 0.832 0.559 Ru
0.750 0.168 0.441 Ru
```

***

No. 2
Compound: TbNdHoMg
Source: the Alexandria database
Functional: PBE
Structure: relaxed

Calculated values
Fermi-level density of states, states/eV/cell: 4.54
Offset from the most stable computed form, eV/atom: 0.000
Magnetization, μB per atom: 0.00

Geometry as POSCAR:
```
TbNdHoMg
1.0
-3.458 0.826 -0.844
-0.891 -0.111 3.542
1.931 8.859 0.763
Mg Nd Tb Ho
1 1 1 1
direct
0.000 0.000 0.569 Mg
0.000 0.000 0.073 Nd
0.500 0.500 0.798 Tb
0.500 0.500 0.345 Ho
```

***

No. 3
Compound: SmAl2Ir
Source: the Alexandria database
Functional: PBE
Structure: relaxed

Calculated values
Fermi-level density of states, states/eV/cell: 2.33
Magnetization, μB per atom: 0.00
Final energy, eV/atom: -5.993

Geometry as POSCAR:
```
SmAl2Ir
1.0
4.236 0.000 0.000
2.118 3.668 0.000
2.118 1.223 5.209
Al Ir Sm
2 1 1
direct
0.792 0.792 0.623 Al
0.208 0.208 0.377 Al
0.500 0.500 0.500 Ir
0.000 0.000 0.000 Sm
```

***

No. 4
Compound: KPm3Ru
Source: the Alexandria database
Functional: PBE
Structure: relaxed

Calculated values
Fermi-level density of states, states/eV/cell: 4.35
Magnetization, μB per atom: 0.00
Final energy, eV/atom: -4.849

Geometry as POSCAR:
```
KPm3Ru
1.0
-2.671 4.130 -2.756
-4.845 -2.853 0.420
-1.087 2.567 4.900
Pm Ru K
3 1 1
direct
0.000 0.000 0.500 Pm
0.000 0.500 0.000 Pm
0.500 0.000 0.000 Pm
0.000 0.000 0.000 Ru
0.500 0.500 0.500 K
```

***

No. 5
Compound: TbNpPbO6
Source: the Alexandria database
Functional: PBE
Structure: relaxed

Calculated values
Energy relative to the elements, uncorrected, meV per atom: -2530
Magnetization, μB per atom: 0.00

Geometry as POSCAR:
```
TbNpPbO6
1.0
5.885 0.000 0.000
-2.942 5.096 0.000
0.000 0.000 10.076
O Np Pb Tb
12 2 2 2
direct
0.968 0.616 0.357 O
0.352 0.384 0.857 O
0.968 0.352 0.143 O
0.032 0.648 0.857 O
0.616 0.648 0.643 O
0.352 0.968 0.643 O
0.616 0.968 0.857 O
0.032 0.384 0.643 O
0.384 0.032 0.143 O
0.384 0.352 0.357 O
0.648 0.032 0.357 O
0.648 0.616 0.143 O
0.333 0.667 0.750 Np
0.667 0.333 0.250 Np
0.000 0.000 0.500 Pb
0.000 0.000 0.000 Pb
0.667 0.333 0.750 Tb
0.333 0.667 0.250 Tb
```

***

No. 6
Compound: PrErRh
Source: the Alexandria database
Functional: PBE
Structure: relaxed

Calculated values
Fermi-level density of states, states/eV/cell: 11.33
Offset from the most stable computed form, eV/atom: 0.092
Magnetization, μB per atom: 0.00

Geometry as POSCAR:
```
PrErRh
1.0
-2.562 -1.309 5.410
-6.264 0.256 -2.904
0.996 -7.922 -1.445
Rh Pr Er
4 4 4
direct
0.172 0.974 0.134 Rh
0.672 0.526 0.366 Rh
0.328 0.474 0.634 Rh
0.828 0.026 0.866 Rh
0.371 0.206 0.887 Pr
0.871 0.294 0.613 Pr
0.629 0.794 0.113 Pr
0.129 0.706 0.387 Pr
0.887 0.291 0.133 Er
0.113 0.709 0.867 Er
0.387 0.209 0.367 Er
0.613 0.791 0.633 Er
```

***

No. 7
Compound: Re2PtRh
Source: the Alexandria database
Functional: PBE
Structure: relaxed

Calculated values
Fermi-level density of states, states/eV/cell: 5.53
Offset from the most stable computed form, eV/atom: 0.079
Magnetization, μB per atom: 0.00

Geometry as POSCAR:
```
Re2PtRh
1.0
-5.063 7.451 -1.582
-6.901 5.527 -2.342
-6.673 6.247 0.320
Rh Re Pt
1 2 1
direct
0.497 0.497 0.497 Rh
0.750 0.750 0.750 Re
0.002 0.002 0.002 Re
0.250 0.250 0.250 Pt
```

***

No. 8
Compound: GdThRu2
Source: the Alexandria database
Functional: PBE
Structure: relaxed

Calculated values
Fermi-level density of states, states/eV/cell: 1.24
Magnetization, μB per atom: 1.75
Final energy, eV/atom: -10.384

Geometry as POSCAR:
```
GdThRu2
1.0
3.509 0.000 0.000
0.000 3.509 0.000
0.000 0.000 6.979
Gd Th Ru
1 1 2
direct
0.500 0.500 0.500 Gd
0.500 0.500 0.000 Th
0.000 0.000 0.237 Ru
0.000 0.000 0.763 Ru
```

***

No. 9
Compound: Ac5Hg2Au
Source: the Alexandria database
Functional: PBE
Structure: relaxed

Calculated values
Fermi-level density of states, states/eV/cell: 18.88
Magnetization, μB per atom: 0.00
Final energy, eV/atom: -3.436

Geometry as POSCAR:
```
Ac5Hg2Au
1.0
-1.492 2.057 -7.723
7.923 1.418 -1.153
-2.090 -9.989 2.024
Hg Ac Au
4 10 2
direct
0.627 0.127 0.000 Hg
0.373 0.873 0.000 Hg
0.127 0.373 0.000 Hg
0.873 0.627 0.000 Hg
0.500 0.500 0.000 Ac
0.000 0.000 0.000 Ac
0.483 0.325 0.309 Ac
0.325 0.825 0.309 Ac
0.175 0.017 0.691 Ac
0.517 0.675 0.691 Ac
0.017 0.517 0.691 Ac
0.983 0.483 0.309 Ac
0.825 0.983 0.309 Ac
0.675 0.175 0.691 Ac
0.750 0.750 0.500 Au
0.250 0.250 0.500 Au
```

***

No. 10
Compound: ZnInNi2
Source: the Alexandria database
Functional: PBE
Structure: relaxed

Calculated values
Fermi-level density of states, states/eV/cell: 2.37
Magnetization, μB per atom: 0.00
Final energy, eV/atom: -3.896

Geometry as POSCAR:
```
ZnInNi2
1.0
-0.856 2.633 -1.569
-2.794 -1.340 -0.725
-2.263 2.123 4.797
Ni Zn In
2 1 1
direct
0.500 0.500 0.261 Ni
0.000 0.000 0.018 Ni
0.000 0.000 0.444 Zn
0.500 0.500 0.777 In
```

***

No. 11
Compound: Li2PtRhN
Source: the Alexandria database
Functional: PBE
Structure: relaxed

Calculated values
Energy relative to the elements, uncorrected, meV per atom: -255
Fermi-level density of states, states/eV/cell: 1.56
Magnetization, μB per atom: 0.00

Geometry as POSCAR:
```
Li2PtRhN
1.0
4.040 0.000 0.000
0.000 4.040 0.000
0.000 0.000 3.763
Li Pt Rh N
2 1 1 1
direct
0.500 0.000 0.000 Li
0.000 0.500 0.000 Li
0.500 0.500 0.500 Pt
0.000 0.000 0.500 Rh
0.000 0.000 0.000 N
```

***

No. 12
Compound: LaHgW2
Source: the Alexandria database
Functional: PBE
Structure: relaxed

Calculated values
Fermi-level density of states, states/eV/cell: 5.56
Magnetization, μB per atom: 0.00
Final energy, eV/atom: -6.985

Geometry as POSCAR:
```
LaHgW2
1.0
-1.233 -4.238 -2.153
4.744 -1.008 -0.774
-1.596 1.018 4.532
W Hg La
2 1 1
direct
0.000 0.000 0.000 W
0.250 0.750 0.500 W
0.500 0.500 0.000 Hg
0.750 0.250 0.500 La
```

***

No. 13
Compound: CsCd2As
Source: the Alexandria database
Functional: PBE
Structure: relaxed

Calculated values
Fermi-level density of states, states/eV/cell: 0.29
Magnetization, μB per atom: 0.00
Final energy, eV/atom: -1.927

Geometry as POSCAR:
```
CsCd2As
1.0
-2.031 -0.196 5.487
-5.030 -2.278 -1.943
0.024 -9.943 2.776
Cs As Cd
2 2 4
direct
0.750 0.250 0.500 Cs
0.000 0.000 0.000 Cs
0.500 0.500 0.000 As
0.250 0.750 0.500 As
0.375 0.625 0.750 Cd
0.875 0.625 0.750 Cd
0.375 0.625 0.250 Cd
0.375 0.125 0.250 Cd
```

***

No. 14
Compound: ZrCuMoS2
Source: the Alexandria database
Functional: PBE
Structure: relaxed

Calculated values
Energy relative to the elements, uncorrected, meV per atom: 286
Fermi-level density of states, states/eV/cell: 4.34
Magnetization, μB per atom: 0.23

Geometry as POSCAR:
```
ZrCuMoS2
1.0
4.531 0.000 0.000
0.000 4.711 0.000
0.000 0.000 4.531
S Mo Cu Zr
2 1 1 1
direct
0.500 0.000 0.000 S
0.000 0.000 0.500 S
0.000 0.000 0.000 Mo
0.000 0.500 0.000 Cu
0.500 0.500 0.500 Zr
```

***

No. 15
Compound: LiSmPt
Source: the Alexandria database
Functional: PBE
Structure: relaxed

Calculated values
Fermi-level density of states, states/eV/cell: 2.94
Offset from the most stable computed form, eV/atom: 0.074
Magnetization, μB per atom: 0.00

Geometry as POSCAR:
```
LiSmPt
1.0
3.976 0.000 0.000
1.988 6.514 -0.047
1.988 1.202 5.058
Pt Li Sm
2 2 2
direct
0.849 0.673 0.630 Pt
0.151 0.327 0.370 Pt
0.197 0.926 0.680 Li
0.803 0.074 0.320 Li
0.570 0.672 0.188 Sm
0.430 0.328 0.812 Sm
```

***

No. 16
Compound: Cs2CI7
Source: the Alexandria database
Functional: PBE
Structure: relaxed

Calculated values
Energy relative to the elements, uncorrected, meV per atom: -99
Fermi-level density of states, states/eV/cell: 3.62
Magnetization, μB per atom: 0.00

Geometry as POSCAR:
```
Cs2CI7
1.0
-6.879 -3.344 -2.116
0.318 -4.698 6.389
-6.680 0.678 5.760
I Cs C
7 2 1
direct
0.000 0.000 0.000 I
0.727 0.273 0.000 I
0.727 0.727 0.000 I
0.294 0.294 0.411 I
0.273 0.727 0.000 I
0.706 0.706 0.589 I
0.273 0.273 0.000 I
0.250 0.750 0.500 Cs
0.750 0.250 0.500 Cs
0.500 0.500 0.000 C
```

***

No. 17
Compound: NdDy2ThSc
Source: the Alexandria database
Functional: PBE
Structure: relaxed

Calculated values
Fermi-level density of states, states/eV/cell: 14.88
Magnetization, μB per atom: 0.00
Final energy, eV/atom: -5.488

Geometry as POSCAR:
```
NdDy2ThSc
1.0
5.016 0.000 0.000
0.000 7.636 1.730
0.000 -1.806 7.676
Dy Th Sc Nd
4 2 2 2
direct
0.750 0.653 0.951 Dy
0.750 0.841 0.554 Dy
0.250 0.159 0.446 Dy
0.250 0.347 0.049 Dy
0.750 0.055 0.149 Th
0.250 0.945 0.851 Th
0.750 0.449 0.350 Sc
0.250 0.551 0.650 Sc
0.750 0.249 0.745 Nd
0.250 0.751 0.255 Nd
```

***

No. 18
Compound: NpTi2H
Source: the Alexandria database
Functional: PBE
Structure: relaxed

Calculated values
Fermi-level density of states, states/eV/cell: 6.46
Offset from the most stable computed form, eV/atom: 0.000
Magnetization, μB per atom: 0.53

Geometry as POSCAR:
```
NpTi2H
1.0
-0.410 0.406 2.784
-2.607 -0.256 1.105
0.316 -7.692 2.619
Ti H Np
2 1 1
direct
0.885 0.885 0.346 Ti
0.115 0.115 0.654 Ti
0.500 0.500 0.500 H
0.000 0.000 0.000 Np
```

***

No. 19
Compound: KTlCuHg2
Source: the Alexandria database
Functional: PBE
Structure: relaxed

Calculated values
Fermi-level density of states, states/eV/cell: 2.99
Magnetization, μB per atom: 0.00
Final energy, eV/atom: -1.655

Geometry as POSCAR:
```
KTlCuHg2
1.0
5.258 0.000 0.000
0.000 5.258 0.000
0.000 0.000 5.351
Hg Tl Cu K
2 1 1 1
direct
0.500 0.000 0.000 Hg
0.000 0.500 0.000 Hg
0.000 0.000 0.500 Tl
0.000 0.000 0.000 Cu
0.500 0.500 0.500 K
```

***

No. 20
Compound: Ac2In8Ag
Source: the Alexandria database
Functional: PBE
Structure: relaxed

Calculated values
Fermi-level density of states, states/eV/cell: 7.09
Magnetization, μB per atom: 0.00
Final energy, eV/atom: -3.295

Geometry as POSCAR:
```
Ac2In8Ag
1.0
4.941 0.000 0.000
0.000 4.941 0.000
0.000 0.000 12.774
Ag In Ac
1 8 2
direct
0.000 0.000 0.000 Ag
0.500 0.500 0.696 In
0.500 0.000 0.500 In
0.000 0.500 0.877 In
0.500 0.000 0.123 In
0.000 0.500 0.500 In
0.500 0.500 0.304 In
0.500 0.000 0.877 In
0.000 0.500 0.123 In
0.000 0.000 0.693 Ac
0.000 0.000 0.307 Ac
```